Here is crystalline Tl2AgPb2 at its relaxed geometry from the Alexandria database. Energies are from PBE.

The formation enthalpy at 0 K comes out at 111.9 meV/atom. The calculation puts the energy above the most stable polymorph in this dataset at 0.000 eV/atom. As for the crystal system: tetragonal. The total DFT energy (no corrections) comes out at -2.888 eV/atom.

Lattice parameters (Å, degrees): 7.6930 7.6930 5.1498 90.00 90.00 90.00
Atoms (fractional coordinates):
Tl: 0.1597 0.3403 0.0000
Tl: 0.3403 0.8403 0.0000
Tl: 0.6597 0.1597 0.0000
Tl: 0.8403 0.6597 0.0000
Ag: 0.0000 0.0000 0.5000
Ag: 0.5000 0.5000 0.5000
Pb: 0.1499 0.6499 0.5000
Pb: 0.3501 0.1499 0.5000
Pb: 0.6499 0.8501 0.5000
Pb: 0.8501 0.3501 0.5000